Below is crystalline AcTbDyHo3 at its relaxed geometry, with properties calculated at the PBE level.

abc: 5.5953 10.1209 7.7133
angles: 90.89 90.00 106.05
Fractional positions:
Ac1 0.3624 0.7249 0.9745
Dy1 0.9466 0.8932 0.6910
Tb1 0.6542 0.3084 0.4452
Ho1 0.2220 0.4441 0.2475
Ho2 0.4739 0.9478 0.3038
Ac2 0.6376 0.2751 0.0255
Tb2 0.3458 0.6916 0.5548
Ho3 0.1640 0.3279 0.7076
Ho4 0.7780 0.5559 0.7525
Ho5 0.8360 0.6721 0.2924
Ho6 0.5261 0.0522 0.6962
Dy2 0.0534 0.1068 0.3090

Results
The calculation puts the total energy at -0.1566 Ha/atom. Its space-group type is C2/m (12). For the calculated formation energy, the calculation gives 0.251 eV per atom. The crystal system is monoclinic. For the volume, the calculation gives 34.98 Å³ per atom.

=====

Below is crystalline SrAl2Co at its relaxed geometry, with properties calculated at the PBE level.

abc: 5.3402 5.3402 8.2435
angles: 71.10 71.10 90.00
Fractional positions:
Al1 0.3750 0.6253 0.7500
Co1 0.2500 0.7500 0.5000
Al2 0.3753 0.6250 0.2500
Sr1 0.7500 0.2500 0.5000
Sr2 0.0000 0.0000 0.0000
Al3 0.8750 0.6247 0.7500
Co2 0.5000 0.5000 0.0000
Al4 0.3747 0.1250 0.2500

Results
The calculation puts the total energy at -0.1484 Ha/atom. Its space-group type is I4_1/amd (141). For the calculated formation energy, the calculation gives 0.029 eV per atom. The crystal system is tetragonal. For the volume, the calculation gives 26.12 Å³ per atom.

=====

Below is crystalline BeCr2Br at its relaxed geometry, with properties calculated at the PBE level.

abc: 6.9897 6.9897 6.9897
angles: 27.31 27.31 27.31
Site moments in Bohr magnetons follow the coordinates.
Fractional positions:
Br1 0.7500 0.7500 0.7500  -0.01
Be1 0.2500 0.2500 0.2500  -0.10
Cr1 0.9844 0.9844 0.9844  3.11
Cr2 0.5156 0.5156 0.5156  3.11

Results
The calculation puts the total energy at -0.2042 Ha/atom. Its space-group type is R-3m (166). The crystal system is trigonal. For the volume, the calculation gives 15.86 Å³ per atom. The value obtained for the formation energy from raw total energies is 0.604 eV per atom.